# Hf2UMo

Hf2UMo after structural relaxation (PBE, Alexandria).

Structure (extended XYZ):
```
4
Lattice="4.822 0.000 0.000 2.411 4.176 0.000 2.411 1.392 3.937" Properties=species:S:1:pos:R:3 pbc="T T T"
Hf 2.411 1.392 0.984
Hf 7.232 4.176 2.953
Mo 4.822 2.784 1.969
U 0.000 0.000 0.000
```

space-group type = No. 225
DFT formation energy = 0.25 eV per atom